The following is a DFT calculation (PBE-GGA) of Ho4GaSe2Br after structural relaxation.

Values from the calculation:
Symmetry ... P2/m, No. 10
ρ ... 8139 kg/m3
Uncorrected formation energy ... -1.27 eV per atom
Energy ... -40.160 eV for the cell shown

a = 7.1293 Å, b = 4.0411 Å, c = 7.2280 Å
α = 90.00°, β = 108.61°, γ = 90.00°
Fractional coordinates of all 8 atoms:
Ho  0.2380  0.0000  0.2211
Ho  0.2523  0.5000  0.7660
Ho  0.7477  0.5000  0.2340
Ho  0.7620  0.0000  0.7789
Ga  0.5000  0.0000  0.0000
Se  0.0000  0.0000  0.5000
Se  0.0000  0.5000  0.0000
Br  0.5000  0.5000  0.5000

---

The following is a DFT calculation (PBE-GGA) of Ba2NdIn12Pt3 after structural relaxation.

Values from the calculation:
Symmetry ... R-3m, No. 166
ρ ... 6971 kg/m3
Energy ... -62.658 eV for the cell shown

a = 8.9617 Å, b = 8.9617 Å, c = 8.9617 Å
α = 65.27°, β = 65.27°, γ = 65.27°
Fractional coordinates of all 18 atoms:
Ba  0.0840  0.0840  0.0840
Ba  0.9160  0.9160  0.9160
Nd  0.5000  0.5000  0.5000
In  0.0451  0.6638  0.6638
In  0.2358  0.2358  0.6288
In  0.2358  0.6288  0.2358
In  0.3362  0.3362  0.9549
In  0.3362  0.9549  0.3362
In  0.3712  0.7642  0.7642
In  0.6288  0.2358  0.2358
In  0.6638  0.0451  0.6638
In  0.6638  0.6638  0.0451
In  0.7642  0.3712  0.7642
In  0.7642  0.7642  0.3712
In  0.9549  0.3362  0.3362
Pt  0.0000  0.5000  0.5000
Pt  0.5000  0.0000  0.5000
Pt  0.5000  0.5000  0.0000

---

The following is a DFT calculation (PBE-GGA) of LiEr3Pu2S6 after structural relaxation.

Values from the calculation:
Symmetry ... C2/m, No. 12
ρ ... 7875 kg/m3
Uncorrected formation energy ... -1.85 eV per atom
Energy ... -91.287 eV for the cell shown

a = 6.7379 Å, b = 6.7379 Å, c = 6.7630 Å
α = 99.57°, β = 99.57°, γ = 120.01°
Fractional coordinates of all 12 atoms:
Li  0.0000  0.0000  0.0000
Er  0.1669  0.8331  0.5000
Er  0.5000  0.5000  0.5000
Er  0.8331  0.1669  0.5000
Pu  0.3334  0.6666  0.0000
Pu  0.6666  0.3334  0.0000
S  0.0849  0.4119  0.2544
S  0.2423  0.2423  0.7466
S  0.4119  0.0849  0.2544
S  0.5881  0.9151  0.7456
S  0.7577  0.7577  0.2534
S  0.9151  0.5881  0.7456

---

The following is a DFT calculation (PBE-GGA) of Sm5Dy2Ho6 after structural relaxation.

Values from the calculation:
Symmetry ... Pbam, No. 55
ρ ... 8087 kg/m3
Energy ... -118.060 eV for the cell shown

a = 11.6213 Å, b = 20.4104 Å, c = 3.5774 Å
α = 90.00°, β = 90.00°, γ = 90.00°
Fractional coordinates of all 26 atoms:
Sm  0.0000  0.0000  0.0000
Sm  0.0854  0.2729  0.0000
Sm  0.1987  0.5502  0.0000
Sm  0.3013  0.0502  0.0000
Sm  0.4146  0.7729  0.0000
Sm  0.5000  0.5000  0.0000
Sm  0.5854  0.2271  0.0000
Sm  0.6987  0.9498  0.0000
Sm  0.8013  0.4498  0.0000
Sm  0.9146  0.7271  0.0000
Dy  0.1704  0.7103  0.5000
Dy  0.3296  0.2103  0.5000
Dy  0.6704  0.7897  0.5000
Dy  0.8296  0.2897  0.5000
Ho  0.0606  0.4189  0.5000
Ho  0.0812  0.1313  0.5000
Ho  0.1746  0.8627  0.0000
Ho  0.3254  0.3627  0.0000
Ho  0.4188  0.6313  0.5000
Ho  0.4394  0.9189  0.5000
Ho  0.5606  0.0811  0.5000
Ho  0.5812  0.3687  0.5000
Ho  0.6746  0.6373  0.0000
Ho  0.8254  0.1373  0.0000
Ho  0.9188  0.8687  0.5000
Ho  0.9394  0.5811  0.5000

---

The following is a DFT calculation (PBE-GGA) of Ho5Tl2Te after structural relaxation.

Values from the calculation:
Symmetry ... Pbam, No. 55
ρ ... 9703 kg/m3
Relative energy among the computed polymorphs ... 0.0 meV/atom
Uncorrected formation energy ... -0.49 eV per atom
Energy ... -69.443 eV for the cell shown

a = 8.3962 Å, b = 12.2383 Å, c = 4.5333 Å
α = 90.00°, β = 90.00°, γ = 90.00°
Fractional coordinates of all 16 atoms:
Ho  0.0000  0.0000  0.0000
Ho  0.1617  0.2808  0.0000
Ho  0.2114  0.5755  0.5000
Ho  0.2886  0.0755  0.5000
Ho  0.3383  0.7808  0.0000
Ho  0.5000  0.5000  0.0000
Ho  0.6617  0.2192  0.0000
Ho  0.7114  0.9245  0.5000
Ho  0.7886  0.4245  0.5000
Ho  0.8383  0.7192  0.0000
Tl  0.0739  0.8235  0.5000
Tl  0.4261  0.3235  0.5000
Tl  0.5739  0.6765  0.5000
Tl  0.9261  0.1765  0.5000
Te  0.0000  0.5000  0.0000
Te  0.5000  0.0000  0.0000

---

Among the records above, which one has the lowest energy? Sm5Dy2Ho6

---

Number 3 is which compound? LiEr3Pu2S6

---

What is the formula in the fifth record? Ho5Tl2Te

---

Number 3 is which compound? LiEr3Pu2S6